# CrRhO3, optimized geometry, DFT PBE with a Hubbard U
data_CrRhO3
_space_group_name_H-M_alt 'P m -3 m'
_space_group_IT_number 221
_space_group_name_Hall '-P 4 2 3'
_cell_length_a 3.694
_cell_length_b 3.694
_cell_length_c 3.694
_cell_angle_alpha 90.00
_cell_angle_beta 90.00
_cell_angle_gamma 90.00
loop_
_atom_site_label
_atom_site_type_symbol
_atom_site_fract_x
_atom_site_fract_y
_atom_site_fract_z
Cr1 Cr 0.000 0.000 0.000
Rh1 Rh 0.500 0.500 0.500
O1 O 0.000 0.000 0.500
# Uncorrected energy ... -30.5 eV per formula unit